[1]
DFT (PBE) results for an optimized crystal structure of SmYPdAu.

```
SmYPdAu
1.0
0.000 3.598 3.598
3.598 0.000 3.598
3.598 3.598 0.000
Sm Y Pd Au
1 1 1 1
Direct
0.000 0.000 0.000
0.500 0.500 0.500
0.250 0.250 0.250
0.750 0.750 0.750
```

Properties
- Formation enthalpy at 0 K: -0.819 eV/atom
- Distance to the lowest polymorph of the same formula: 0.198 eV per formula unit
- Fermi-level density of states: 0.716 states/eV/atom
- Space group: No. 216

=====

[2]
DFT (PBE) results for an optimized crystal structure of SmYPdAu.

```
SmYPdAu
1.0
4.714 0.000 0.000
0.000 1.904 5.375
0.000 -1.904 5.375
Sm Y Pd Au
1 1 1 1
Direct
0.000 0.000 0.000
0.500 0.276 0.276
0.000 0.725 0.725
0.500 0.555 0.555
```

Properties
- Formation enthalpy at 0 K: -0.869 eV/atom
- Distance to the lowest polymorph of the same formula: 0.000 eV per formula unit
- Fermi-level density of states: 0.557 states/eV/atom
- Space group: No. 38

=====

[3]
DFT (PBE) results for an optimized crystal structure of SmZn2Pd5Au.

```
SmZn2Pd5Au
1.0
4.582 0.000 0.000
0.000 4.582 0.000
0.000 0.000 7.684
Sm Zn Pd Au
1 2 5 1
Direct
0.000 0.000 0.000
0.500 0.500 0.347
0.500 0.500 0.653
0.000 0.500 0.242
0.000 0.500 0.758
0.500 0.000 0.242
0.500 0.000 0.758
0.500 0.500 0.000
0.000 0.000 0.500
```

Properties
- Formation enthalpy at 0 K: -0.359 eV/atom
- Fermi-level density of states: 0.253 states/eV/atom
- Space group: No. 123

=====

[4]
DFT (PBE) results for an optimized crystal structure of Sm2Zn4PdAu3.

```
Sm2Zn4PdAu3
1.0
4.102 0.000 0.000
0.000 4.102 0.000
0.000 0.000 11.795
Sm Zn Pd Au
2 4 1 3
Direct
0.000 0.500 0.245
0.500 0.000 0.755
0.000 0.000 0.500
0.000 0.500 0.865
0.500 0.000 0.135
0.500 0.500 0.500
0.500 0.500 0.000
0.000 0.000 0.000
0.000 0.500 0.647
0.500 0.000 0.353
```

Properties
- Formation enthalpy at 0 K: -0.531 eV/atom
- Fermi-level density of states: 0.631 states/eV/atom
- Space group: No. 115